Tm3Fe7Ni2 | PBE | relaxed

The space group is R-3m (No. 166, hexagonal axes) and the conventional cell measures 4.9958, 4.9958 and 24.6400 Å, with angles of 90.00, 90.00 and 120.00 degrees. The distinct sites, in fractional coordinates, are Tm at (0.0000, 0.0000, 0.0000), Tm at (0.0000, 0.0000, 0.1418), Fe at (0.0000, 0.0000, 0.5000), Fe at (0.9995, 0.4998, 0.0825) and Ni at (0.0000, 0.0000, 0.3329).

The energy relative to the elements comes out at -0.176 eV/atom. The value obtained for the density is 9.50 g/cm3. As for the size of the total moment: 44.4 μB per cell. The value obtained for the density of states at the Fermi level is 27.41 states/eV per cell.

RbYO2 | PBE | relaxed

The space group is I-42d (No. 122) and the conventional cell measures 6.227, 6.227 and 9.396 Å, with angles of 90.00, 90.00 and 90.00 degrees. The distinct sites, in fractional coordinates, are Rb at (0.000, 0.000, 0.000), Y at (0.000, 0.000, 0.500) and O at (0.149, 0.250, 0.625).

The value obtained for the density is 3.76 g/cm3. As for the size of the total moment: 0.0 μB per cell. The formation energy from raw total energies comes out at -2.59 eV per atom. The value obtained for the density of states at the Fermi level is 0.00 states/eV per cell.

TiCdRe2 | PBE | relaxed

The space group is I-42d (No. 122) and the conventional cell measures 3.931, 3.931 and 19.214 Å, with angles of 90.00, 90.00 and 90.00 degrees. The distinct sites, in fractional coordinates, are Ti at (0.000, 0.000, 0.000), Cd at (0.000, 0.000, 0.500) and Re at (0.183, 0.250, 0.125).

The energy relative to the elements comes out at 0.734 eV/atom. The value obtained for the density is 11.91 g/cm3. As for the size of the total moment: 0.0 μB per cell. The value obtained for the density of states at the Fermi level is 15.44 states/eV per cell.

RbLaC2 | PBE | relaxed

The space group is Fm-3m (No. 225) and the conventional cell measures 6.747, 6.747 and 6.747 Å, with angles of 90.00, 90.00 and 90.00 degrees. The distinct sites, in fractional coordinates, are Rb at (0.000, 0.000, 0.000), La at (0.000, 0.000, 0.500) and C at (0.250, 0.250, 0.250).

The energy relative to the elements comes out at 1.709 eV/atom. The value obtained for the density is 5.37 g/cm3. As for the size of the total moment: 0.0 μB per cell. As for the energy above the most stable polymorph in this dataset: 146.2 meV/atom. The value obtained for the density of states at the Fermi level is 10.84 states/eV per cell.

KLi3Se2 | PBE | relaxed

The space group is C2/m (No. 12) and the conventional cell measures 16.746, 4.337 and 8.505 Å, with angles of 90.00, 117.08 and 90.00 degrees. The distinct sites, in fractional coordinates, are K at (0.131, 0.000, 0.044), Li at (0.060, 0.000, 0.392), Li at (0.101, 0.500, 0.641), Li at (0.188, 0.500, 0.458), Se at (0.017, 0.500, 0.256) and Se at (0.202, 0.000, 0.672).

The value obtained for the density is 2.63 g/cm3. As for the size of the total moment: 0.0 μB per cell. The formation energy from raw total energies comes out at -1.19 eV per atom. The value obtained for the density of states at the Fermi level is 0.00 states/eV per cell.

SrAs2PdRu | PBE | relaxed

The space group is I-4m2 (No. 119) and the conventional cell measures 4.112, 4.112 and 12.198 Å, with angles of 90.00, 90.00 and 90.00 degrees. The distinct sites, in fractional coordinates, are Sr at (0.000, 0.000, 0.000), As at (0.000, 0.000, 0.366), Pd at (0.000, 0.500, 0.250) and Ru at (0.000, 0.500, 0.750).

The energy relative to the elements comes out at -0.645 eV/atom. The value obtained for the density is 7.17 g/cm3. As for the size of the total moment: 0.0 μB per cell. The value obtained for the density of states at the Fermi level is 6.34 states/eV per cell.

Which formula does entry 2 have?
RbYO2

What is the formula in the second record?
RbYO2